# 1
The following is a SCAN calculation of Li3NiP2O8 at its PBEsol-relaxed geometry, from the Alexandria database.

Computed properties:
raw formation energy	-32.093	eV per formula unit
raw total energy	-9.006	eV/atom
Fermi-level density of states	2.09	states/eV/cell
magnetization	1.00	Bohr magnetons per cell

Cell lengths 4.7725, 4.7725, 6.1586 Å; angles 89.72, 89.72, 67.44 degrees
With the nearest neighbours (Å) after each atom.
Fractional positions:
P1 0.1507 0.1507 0.7700  4 O 1.51-1.57
P2 0.8493 0.8493 0.2300  4 O 1.51-1.57
O1 0.7359 0.2057 0.2272  1 P 1.57
O2 0.7943 0.2641 0.7728  1 P 1.57
O3 0.7383 0.7383 0.0243  1 P 1.55
O4 0.7448 0.7448 0.4352  1 P 1.51
O5 0.2641 0.7943 0.7728  1 P 1.57
O6 0.2057 0.7359 0.2272  1 P 1.57
O7 0.2552 0.2552 0.5648  1 P 1.51
O8 0.2617 0.2617 0.9757  1 P 1.55
Li1 0.8208 0.8208 0.7258  4 O 1.89-2.09
Li2 0.5000 0.5000 0.5000  6 O 1.98-2.20
Li3 0.1792 0.1792 0.2742  4 O 1.89-2.09
Ni1 0.5000 0.5000 0.0000  6 O 1.90-2.00

***

# 2
The following is a SCAN calculation of LiNiPO4 at its PBEsol-relaxed geometry, from the Alexandria database.

Computed properties:
raw formation energy	-15.851	eV per formula unit
raw total energy	-9.962	eV/atom
Fermi-level density of states	0.00	states/eV/cell
magnetization	7.89	Bohr magnetons per cell

Cell lengths 4.6559, 5.8090, 9.9581 Å; angles 90.00, 90.00, 90.00 degrees
With the nearest neighbours (Å) after each atom.
Fractional positions:
Li1 0.0002 0.2505 0.2498  6 O 2.07-2.12
Li2 0.4998 0.7495 0.7498  6 O 2.07-2.12
Li3 0.5002 0.2495 0.7502  6 O 2.07-2.12
Li4 0.9998 0.7505 0.2502  6 O 2.07-2.12
Ni1 0.4866 0.5001 0.0234  6 O 2.02-2.12
Ni2 0.0134 0.4999 0.5234  6 O 2.02-2.12
Ni3 0.5134 0.0001 0.4766  6 O 2.02-2.12
Ni4 0.9866 0.9999 0.9766  6 O 2.02-2.12
P1 0.4222 0.0001 0.1556  4 O 1.53-1.57
P2 0.5778 0.5001 0.3444  4 O 1.53-1.57
P3 0.0778 0.9999 0.6556  4 O 1.53-1.57
P4 0.9222 0.4999 0.8444  4 O 1.53-1.57
O1 0.2212 0.7891 0.5829  1 P 1.57
O2 0.2788 0.2109 0.0829  1 P 1.57
O3 0.7212 0.2892 0.4170  1 P 1.57
O4 0.2492 0.5001 0.3475  1 P 1.53
O5 0.7492 0.9999 0.6525  1 P 1.53
O6 0.2212 0.2108 0.5830  1 P 1.57
O7 0.2011 0.9998 0.8002  1 P 1.55
O8 0.7788 0.2891 0.9171  1 P 1.57
O9 0.7989 0.4998 0.6998  1 P 1.55
O10 0.7788 0.7108 0.9170  1 P 1.57
O11 0.2788 0.7892 0.0830  1 P 1.57
O12 0.7508 0.0001 0.1525  1 P 1.53
O13 0.2989 0.0002 0.3002  1 P 1.55
O14 0.7212 0.7109 0.4171  1 P 1.57
O15 0.2508 0.4999 0.8475  1 P 1.53
O16 0.7011 0.5002 0.1998  1 P 1.55

***

# 3
The following is a SCAN calculation of LiNiPO4 at its PBEsol-relaxed geometry, from the Alexandria database.

Computed properties:
raw formation energy	-15.224	eV per formula unit
raw total energy	-9.873	eV/atom
Fermi-level density of states	0.00	states/eV/cell
magnetization	7.97	Bohr magnetons per cell

Cell lengths 5.1351, 7.3627, 8.4116 Å; angles 100.91, 91.54, 98.55 degrees
With the nearest neighbours (Å) after each atom.
Fractional positions:
Li1 0.7074 0.4635 0.8320  4 O 1.98-2.12
Li2 0.2926 0.5365 0.1680  4 O 1.98-2.12
Li3 0.1154 0.0320 0.3573  4 O 1.88-2.02
Li4 0.8846 0.9680 0.6427  4 O 1.88-2.02
O1 0.5537 0.8377 0.5548  1 P 1.53
O2 0.1324 0.0050 0.8375  1 P 1.55
O3 0.2027 0.6410 0.6875  1 P 1.56
O4 0.3084 0.5353 0.4027  1 P 1.58
O5 0.8676 0.9950 0.1625  1 P 1.55
O6 0.9381 0.1890 0.5313  1 P 1.54
O7 0.6916 0.4647 0.5973  1 P 1.58
O8 0.0977 0.7194 0.0579  1 P 1.57
O9 0.6596 0.7373 0.9192  1 P 1.55
O10 0.7973 0.3590 0.3125  1 P 1.56
O11 0.6631 0.6697 0.1949  1 P 1.54
O12 0.9023 0.2806 0.9421  1 P 1.57
O13 0.3404 0.2627 0.0808  1 P 1.55
O14 0.4463 0.1623 0.4452  1 P 1.53
O15 0.3369 0.3303 0.8051  1 P 1.54
O16 0.0619 0.8110 0.4687  1 P 1.54
P1 0.2818 0.7165 0.5310  4 O 1.53-1.58
P2 0.8216 0.7838 0.0845  4 O 1.54-1.57
P3 0.1784 0.2162 0.9155  4 O 1.54-1.57
P4 0.7182 0.2835 0.4690  4 O 1.53-1.58
Ni1 0.7169 0.6251 0.4119  6 O 1.93-2.12
Ni2 0.6823 0.1888 0.1041  4 O 1.93-1.97
Ni3 0.3177 0.8112 0.8959  4 O 1.93-1.97
Ni4 0.2831 0.3749 0.5881  6 O 1.93-2.12

***

# 4
The following is a SCAN calculation of LiNiPO4 at its PBEsol-relaxed geometry, from the Alexandria database.

Computed properties:
raw formation energy	-15.857	eV per formula unit
raw total energy	-9.963	eV/atom
Fermi-level density of states	0.00	states/eV/cell
magnetization	3.97	Bohr magnetons per cell

Cell lengths 4.8519, 4.8519, 6.0891 Å; angles 90.00, 90.00, 113.34 degrees
With the nearest neighbours (Å) after each atom.
Fractional positions:
Ni1 0.5000 0.5000 0.5000  6 O 2.00-2.10
Ni2 0.5000 0.5000 0.0000  6 O 2.00-2.10
O1 0.7444 0.2556 0.9575  1 P 1.52
O2 0.2556 0.7444 0.0425  1 P 1.52
O3 0.2556 0.7444 0.4575  1 P 1.52
O4 0.2033 0.2636 0.7500  1 P 1.58
O5 0.7967 0.7363 0.2500  1 P 1.58
O6 0.7363 0.7967 0.7500  1 P 1.58
O7 0.2636 0.2033 0.2500  1 P 1.58
O8 0.7444 0.2556 0.5425  1 P 1.52
Li1 0.1720 0.8280 0.7500  4 O 1.91-2.06
Li2 0.8280 0.1720 0.2500  4 O 1.91-2.06
P1 0.8497 0.1503 0.7500  4 O 1.52-1.58
P2 0.1503 0.8497 0.2500  4 O 1.52-1.58

***

# 5
The following is a SCAN calculation of Li3Ni2P5O16 at its PBEsol-relaxed geometry, from the Alexandria database.

Computed properties:
raw formation energy	-60.658	eV per formula unit
raw total energy	-9.687	eV/atom
Fermi-level density of states	0.00	states/eV/cell
magnetization	8.12	Bohr magnetons per cell

Cell lengths 4.9304, 6.7551, 17.9307 Å; angles 90.00, 92.23, 90.00 degrees
With the nearest neighbours (Å) after each atom.
Fractional positions:
O1 0.3833 0.0285 0.8719  1 P 1.52
O2 0.9183 0.3722 0.5679  1 P 1.51
O3 0.3794 0.2074 0.4841  1 P 1.53
O4 0.5660 0.4507 0.8926  1 P 1.51
O5 0.2000 0.3835 0.7939  2 P 1.58-1.59
O6 0.9183 0.6278 0.0679  1 P 1.51
O7 0.8000 0.6165 0.2061  2 P 1.58-1.59
O8 0.4340 0.4507 0.6074  1 P 1.51
O9 0.1776 0.1235 0.6993  1 P 1.50
O10 0.1923 0.6891 0.8576  2 P 1.58-1.65
O11 0.9284 0.0767 0.4305  1 P 1.52
O12 0.8000 0.3835 0.7061  2 P 1.58-1.59
O13 0.0817 0.6278 0.4321  1 P 1.51
O14 0.0817 0.3722 0.9321  1 P 1.51
O15 0.3833 0.9715 0.3719  1 P 1.52
O16 0.0716 0.0767 0.0695  1 P 1.52
O17 0.6206 0.7926 0.5159  1 P 1.53
O18 0.8224 0.1235 0.8007  1 P 1.50
O19 0.4340 0.5493 0.1074  1 P 1.51
O20 0.2000 0.6165 0.2939  2 P 1.58-1.59
O21 0.1923 0.3109 0.3576  2 P 1.58-1.65
O22 0.3794 0.7926 0.9841  1 P 1.53
O23 0.1776 0.8765 0.1993  1 P 1.50
O24 0.9284 0.9233 0.9305  1 P 1.52
O25 0.6206 0.2074 0.0159  1 P 1.53
O26 0.6167 0.0285 0.6281  1 P 1.52
O27 0.8224 0.8765 0.3007  1 P 1.50
O28 0.6167 0.9715 0.1281  1 P 1.52
O29 0.5660 0.5493 0.3926  1 P 1.51
O30 0.0716 0.9233 0.5695  1 P 1.52
O31 0.8077 0.6891 0.6424  2 P 1.58-1.65
O32 0.8077 0.3109 0.1424  2 P 1.58-1.65
Li1 0.2627 0.3231 0.0331  4 O 1.97-2.18
Li2 0.7373 0.6769 0.9669  4 O 1.97-2.18
Li3 0.5000 0.0116 0.7500  2 O 1.95
Li4 0.7373 0.3231 0.4669  4 O 1.97-2.18
Li5 0.2627 0.6769 0.5331  4 O 1.97-2.18
Li6 0.5000 0.9884 0.2500  2 O 1.95
P1 0.7362 0.5348 0.1241  4 O 1.51-1.59
P2 0.2240 0.8774 0.9156  4 O 1.52-1.65
P3 0.2638 0.5348 0.3759  4 O 1.51-1.59
P4 0.2638 0.4652 0.8759  4 O 1.51-1.59
P5 0.0000 0.2380 0.7500  4 O 1.50-1.58
P6 0.7362 0.4652 0.6241  4 O 1.51-1.59
P7 0.2240 0.1226 0.4156  4 O 1.52-1.65
P8 0.0000 0.7620 0.2500  4 O 1.50-1.58
P9 0.7760 0.8774 0.5844  4 O 1.52-1.65
P10 0.7760 0.1226 0.0844  4 O 1.52-1.65
Ni1 0.7352 0.8217 0.4097  6 O 2.00-2.18
Ni2 0.2648 0.8217 0.0903  6 O 2.00-2.18
Ni3 0.7352 0.1783 0.9097  6 O 2.00-2.18
Ni4 0.2648 0.1783 0.5903  6 O 2.00-2.18

***

# 6
The following is a SCAN calculation of LiNiPO4 at its PBEsol-relaxed geometry, from the Alexandria database.

Computed properties:
raw formation energy	-15.341	eV per formula unit
raw total energy	-9.890	eV/atom
Fermi-level density of states	0.00	states/eV/cell
magnetization	16.03	Bohr magnetons per cell

Cell lengths 4.7553, 9.5550, 14.1826 Å; angles 90.00, 90.00, 90.00 degrees
With the nearest neighbours (Å) after each atom.
Fractional positions:
O1 0.3654 0.2360 0.3736  1 P 1.55
O2 0.6346 0.7640 0.8736  1 P 1.55
O3 0.5699 0.9583 0.0313  1 P 1.55
O4 0.5709 0.5419 0.7145  1 P 1.55
O5 0.9694 0.0539 0.3723  1 P 1.55
O6 0.0709 0.7809 0.2818  1 P 1.55
O7 0.9291 0.2191 0.7818  1 P 1.55
O8 0.0845 0.7255 0.9648  1 P 1.56
O9 0.0845 0.7745 0.4648  1 P 1.56
O10 0.4301 0.0417 0.5313  1 P 1.55
O11 0.0306 0.5539 0.3723  1 P 1.55
O12 0.9694 0.4461 0.8723  1 P 1.55
O13 0.5699 0.5417 0.5313  1 P 1.55
O14 0.5709 0.9581 0.2145  1 P 1.55
O15 0.8733 0.0018 0.6228  1 P 1.55
O16 0.3654 0.2640 0.8736  1 P 1.55
O17 0.8733 0.4982 0.1228  1 P 1.55
O18 0.5225 0.1813 0.1235  1 P 1.55
O19 0.4301 0.4583 0.0313  1 P 1.55
O20 0.0709 0.7191 0.7818  1 P 1.55
O21 0.1267 0.9982 0.1228  1 P 1.55
O22 0.9155 0.2745 0.4648  1 P 1.56
O23 0.9155 0.2255 0.9648  1 P 1.56
O24 0.9291 0.2809 0.2818  1 P 1.55
O25 0.6346 0.7360 0.3736  1 P 1.55
O26 0.1267 0.5018 0.6228  1 P 1.55
O27 0.4775 0.8187 0.6235  1 P 1.55
O28 0.0306 0.9461 0.8723  1 P 1.55
O29 0.5225 0.3187 0.6235  1 P 1.55
O30 0.4775 0.6813 0.1235  1 P 1.55
O31 0.4291 0.4581 0.2145  1 P 1.55
O32 0.4291 0.0419 0.7145  1 P 1.55
Li1 0.5375 0.2297 0.7492  4 O 1.92-1.98
Li2 0.4625 0.7703 0.2492  4 O 1.92-1.98
Li3 0.4625 0.7297 0.7492  4 O 1.92-1.98
Li4 0.9464 0.4732 0.4979  4 O 1.96-1.99
Li5 0.0536 0.9732 0.4979  4 O 1.96-1.99
Li6 0.5375 0.2703 0.2492  4 O 1.92-1.98
Li7 0.9464 0.0268 0.9979  4 O 1.96-1.99
Li8 0.0536 0.5268 0.9979  4 O 1.96-1.99
P1 0.5511 0.5235 0.1232  4 O 1.55
P2 0.4489 0.0235 0.1232  4 O 1.55
P3 0.0432 0.2120 0.3730  4 O 1.55-1.56
P4 0.9568 0.7120 0.3730  4 O 1.55-1.56
P5 0.4489 0.4765 0.6232  4 O 1.55
P6 0.5511 0.9765 0.6232  4 O 1.55
P7 0.9568 0.7880 0.8730  4 O 1.55-1.56
P8 0.0432 0.2880 0.8730  4 O 1.55-1.56
Ni1 0.4748 0.7662 0.9990  4 O 1.93-1.96
Ni2 0.5252 0.2338 0.4990  4 O 1.93-1.96
Ni3 0.0314 0.0275 0.7475  4 O 1.93-1.96
Ni4 0.0314 0.4725 0.2475  4 O 1.93-1.96
Ni5 0.9686 0.9725 0.2475  4 O 1.93-1.96
Ni6 0.4748 0.7338 0.4990  4 O 1.93-1.96
Ni7 0.5252 0.2662 0.9990  4 O 1.93-1.96
Ni8 0.9686 0.5275 0.7475  4 O 1.93-1.96

***

# 7
The following is a SCAN calculation of Li5Ni6P8O28 at its PBEsol-relaxed geometry, from the Alexandria database.

Computed properties:
raw formation energy	-104.961	eV per formula unit
raw total energy	-10.034	eV/atom
Fermi-level density of states	8.59	states/eV/cell
magnetization	11.00	Bohr magnetons per cell

Cell lengths 6.2408, 8.2873, 9.8185 Å; angles 107.78, 90.74, 92.39 degrees
With the nearest neighbours (Å) after each atom.
Fractional positions:
O1 0.3399 0.6397 0.8900  1 P 1.53
O2 0.0629 0.4247 0.7221  1 P 1.52
O3 0.7036 0.1877 0.5776  1 P 1.51
O4 0.5415 0.5772 0.3328  2 P 1.61-1.63
O5 0.6087 0.9183 0.7391  1 P 1.54
O6 0.3975 0.7090 0.1614  1 P 1.55
O7 0.3913 0.0817 0.2609  1 P 1.54
O8 0.2205 0.3879 0.0245  1 P 1.53
O9 0.9371 0.5753 0.2779  1 P 1.52
O10 0.0488 0.8407 0.0852  1 P 1.52
O11 0.0197 0.0850 0.3751  1 P 1.53
O12 0.3268 0.0752 0.9672  1 P 1.55
O13 0.7624 0.6417 0.5918  1 P 1.52
O14 0.6025 0.2910 0.8386  1 P 1.55
O15 0.7505 0.3519 0.3656  1 P 1.55
O16 0.9280 0.8016 0.8333  2 P 1.61-1.62
O17 0.2376 0.3583 0.4082  1 P 1.52
O18 0.4585 0.4228 0.6672  2 P 1.61-1.63
O19 0.0720 0.1984 0.1667  2 P 1.61-1.62
O20 0.3195 0.1290 0.6504  1 P 1.52
O21 0.6601 0.3604 0.1100  1 P 1.53
O22 0.6805 0.8710 0.3496  1 P 1.52
O23 0.6732 0.9248 0.0328  1 P 1.55
O24 0.2495 0.6481 0.6344  1 P 1.55
O25 0.9512 0.1593 0.9148  1 P 1.52
O26 0.9803 0.9150 0.6249  1 P 1.53
O27 0.2964 0.8123 0.4224  1 P 1.51
O28 0.7795 0.6121 0.9755  1 P 1.53
Ni1 0.3081 0.8892 0.6429  5 O 1.96-2.08
Ni2 0.5000 0.5000 0.0000  6 O 1.99-2.09
Ni3 0.0000 0.5000 0.5000  4 O 1.98-2.11
Ni4 0.6919 0.1108 0.3571  5 O 1.96-2.08
Ni5 0.6421 0.1143 0.9387  6 O 1.98-2.21
Ni6 0.3579 0.8857 0.0613  6 O 1.98-2.21
P1 0.1860 0.1788 0.3099  4 O 1.52-1.62
P2 0.2623 0.5410 0.7383  4 O 1.52-1.63
P3 0.4771 0.7581 0.3198  4 O 1.51-1.61
P4 0.7377 0.4590 0.2617  4 O 1.52-1.63
P5 0.5229 0.2419 0.6802  4 O 1.51-1.61
P6 0.8140 0.8212 0.6901  4 O 1.52-1.62
P7 0.8503 0.7955 0.9873  4 O 1.52-1.61
P8 0.1497 0.2045 0.0127  4 O 1.52-1.61
Li1 0.0976 0.6119 0.1231  4 O 1.92-2.07
Li2 0.9842 0.8419 0.3946  5 O 1.98-2.16
Li3 0.5000 0.5000 0.5000  4 O 1.95-2.01
Li4 0.0158 0.1581 0.6054  5 O 1.98-2.16
Li5 0.9024 0.3881 0.8769  4 O 1.92-2.07

***

# 8
The following is a SCAN calculation of LiNiPO4 at its PBEsol-relaxed geometry, from the Alexandria database.

Computed properties:
raw formation energy	-15.258	eV per formula unit
raw total energy	-9.878	eV/atom
Fermi-level density of states	0.00	states/eV/cell
magnetization	3.97	Bohr magnetons per cell

Cell lengths 5.3271, 5.3271, 6.1398 Å; angles 103.29, 103.29, 118.04 degrees
With the nearest neighbours (Å) after each atom.
Fractional positions:
Li1 0.9412 0.0588 0.5000  4 O 2.03-2.26
Li2 0.1912 0.8088 0.0000  4 O 2.03-2.26
O1 0.5826 0.5429 0.3362  1 P 1.56
O2 0.5433 0.0036 0.8362  1 P 1.56
O3 0.9964 0.4567 0.1638  1 P 1.56
O4 0.4571 0.4174 0.6638  1 P 1.56
O5 0.8723 0.9171 0.1432  1 P 1.54
O6 0.9760 0.5209 0.6432  1 P 1.54
O7 0.0829 0.1277 0.8568  1 P 1.54
O8 0.4791 0.0240 0.3568  1 P 1.54
P1 0.8784 0.1216 0.0000  4 O 1.54-1.56
P2 0.6284 0.3716 0.5000  4 O 1.54-1.56
Ni1 0.3105 0.6895 0.5000  4 O 1.97-2.08
Ni2 0.5605 0.4395 0.0000  4 O 1.97-2.08

***

Q: Which of these has the lowest raw formation energy?
A: Li5Ni6P8O28

***

Q: Which formula does entry 2 have?
A: LiNiPO4